[1]
# Na2Cd2Bi2Pb (PBE, relaxed)
data_Na2Cd2Bi2Pb
_cell_length_a 5.1816
_cell_length_b 5.1816
_cell_length_c 25.8288
_cell_angle_alpha 90.00
_cell_angle_beta 90.00
_cell_angle_gamma 120.00
_space_group_name_H-M_alt 'R -3 m'
_space_group_IT_number 166
_space_group_name_Hall '-R 3 2"'
loop_
_atom_site_label
_atom_site_type_symbol
_atom_site_fract_x
_atom_site_fract_y
_atom_site_fract_z
Na1 Na 0.0000 0.0000 0.1380
Cd1 Cd 0.0000 0.0000 0.4404
Bi1 Bi 0.0000 0.0000 0.2668
Pb1 Pb 0.0000 0.0000 0.0000
# Density (g cm⁻³): 7.43
# Calculated volume (Å³ per cell): 600.6
# Fermi-level density of states (states/eV/cell): 4.255
# Energy of formation from the pure elements (eV/atom): -0.14



[2]
# NaCdBiPd2 (PBE, relaxed)
data_NaCdBiPd2
_cell_length_a 4.8193
_cell_length_b 4.8193
_cell_length_c 4.9218
_cell_angle_alpha 90.00
_cell_angle_beta 90.00
_cell_angle_gamma 90.00
_space_group_name_H-M_alt 'P 4/m m m'
_space_group_IT_number 123
_space_group_name_Hall '-P 4 2'
loop_
_atom_site_label
_atom_site_type_symbol
_atom_site_fract_x
_atom_site_fract_y
_atom_site_fract_z
Na1 Na 0.0000 0.0000 0.0000
Cd1 Cd 0.0000 0.0000 0.5000
Bi1 Bi 0.5000 0.5000 0.5000
Pd1 Pd 0.0000 0.5000 0.0000
# Density (g cm⁻³): 8.09
# Calculated volume (Å³ per cell): 114.3
# Fermi-level density of states (states/eV/cell): 2.359
# ΔE to the lowest computed polymorph (eV per atom): 0.1562
# Energy of formation from the pure elements (eV/atom): 0.57



[3]
# NaCd2BiPd (PBE, relaxed)
data_NaCd2BiPd
_cell_length_a 5.2537
_cell_length_b 5.2537
_cell_length_c 5.3511
_cell_angle_alpha 90.00
_cell_angle_beta 90.00
_cell_angle_gamma 90.00
_space_group_name_H-M_alt 'P 4/m m m'
_space_group_IT_number 123
_space_group_name_Hall '-P 4 2'
loop_
_atom_site_label
_atom_site_type_symbol
_atom_site_fract_x
_atom_site_fract_y
_atom_site_fract_z
Na1 Na 0.0000 0.0000 0.0000
Cd1 Cd 0.0000 0.5000 0.5000
Bi1 Bi 0.5000 0.5000 0.0000
Pd1 Pd 0.5000 0.5000 0.5000
# Density (g cm⁻³): 6.33
# Calculated volume (Å³ per cell): 147.7
# Fermi-level density of states (states/eV/cell): 2.040
# Energy of formation from the pure elements (eV/atom): -0.07



[4]
# NaCdBiPd2 (PBE, relaxed)
data_NaCdBiPd2
_cell_length_a 5.1643
_cell_length_b 5.1643
_cell_length_c 5.5745
_cell_angle_alpha 90.00
_cell_angle_beta 90.00
_cell_angle_gamma 90.00
_space_group_name_H-M_alt 'P 4/m m m'
_space_group_IT_number 123
_space_group_name_Hall '-P 4 2'
loop_
_atom_site_label
_atom_site_type_symbol
_atom_site_fract_x
_atom_site_fract_y
_atom_site_fract_z
Na1 Na 0.0000 0.0000 0.0000
Cd1 Cd 0.5000 0.5000 0.0000
Bi1 Bi 0.0000 0.0000 0.5000
Pd1 Pd 0.0000 0.5000 0.5000
# Density (g cm⁻³): 6.22
# Calculated volume (Å³ per cell): 148.7
# Fermi-level density of states (states/eV/cell): 4.776
# ΔE to the lowest computed polymorph (eV per atom): 0.0000
# Energy of formation from the pure elements (eV/atom): 0.41



[5]
# NaPmCdBi (PBE, relaxed)
data_NaPmCdBi
_cell_length_a 7.7124
_cell_length_b 7.7124
_cell_length_c 7.7124
_cell_angle_alpha 90.00
_cell_angle_beta 90.00
_cell_angle_gamma 90.00
_space_group_name_H-M_alt 'F -4 3 m'
_space_group_IT_number 216
_space_group_name_Hall 'F -4 2 3'
loop_
_atom_site_label
_atom_site_type_symbol
_atom_site_fract_x
_atom_site_fract_y
_atom_site_fract_z
Na1 Na 0.0000 0.0000 0.0000
Pm1 Pm 0.0000 0.0000 0.5000
Cd1 Cd 0.2500 0.2500 0.2500
Bi1 Bi 0.2500 0.2500 0.7500
# Density (g cm⁻³): 7.09
# Calculated volume (Å³ per cell): 458.7
# Fermi-level density of states (states/eV/cell): 14.364
# Energy of formation from the pure elements (eV/atom): -0.34



[6]
# Na2PrCdBi2 (PBE, relaxed)
data_Na2PrCdBi2
_cell_length_a 4.9803
_cell_length_b 9.6207
_cell_length_c 7.5971
_cell_angle_alpha 90.00
_cell_angle_beta 90.00
_cell_angle_gamma 90.00
_space_group_name_H-M_alt 'P m c 21'
_space_group_IT_number 26
loop_
_space_group_symop_operation_xyz
'x,y,z'
'-x,-y,z+1/2'
'-x,y,z'
'x,-y,z+1/2'
loop_
_atom_site_label
_atom_site_type_symbol
_atom_site_fract_x
_atom_site_fract_y
_atom_site_fract_z
Na1 Na 0.0000 0.0566 0.0000
Na2 Na 0.5000 0.1555 0.3041
Pr1 Pr 0.5000 0.4726 0.9591
Cd1 Cd 0.0000 0.3267 0.6427
Bi1 Bi 0.0000 0.3564 0.2282
Bi2 Bi 0.5000 0.1732 0.7346
# Density (g cm⁻³): 6.54
# Calculated volume (Å³ per cell): 364.0
# Fermi-level density of states (states/eV/cell): 4.922
# Energy of formation from the pure elements (eV/atom): -0.45



What is the Fermi-level density of states in the third record? 2.040 states/eV/cell



What did the fifth record say?
# NaPmCdBi (PBE, relaxed)
data_NaPmCdBi
_cell_length_a 7.7124
_cell_length_b 7.7124
_cell_length_c 7.7124
_cell_angle_alpha 90.00
_cell_angle_beta 90.00
_cell_angle_gamma 90.00
_space_group_name_H-M_alt 'F -4 3 m'
_space_group_IT_number 216
_space_group_name_Hall 'F -4 2 3'
loop_
_atom_site_label
_atom_site_type_symbol
_atom_site_fract_x
_atom_site_fract_y
_atom_site_fract_z
Na1 Na 0.0000 0.0000 0.0000
Pm1 Pm 0.0000 0.0000 0.5000
Cd1 Cd 0.2500 0.2500 0.2500
Bi1 Bi 0.2500 0.2500 0.7500
# Density (g cm⁻³): 7.09
# Calculated volume (Å³ per cell): 458.7
# Fermi-level density of states (states/eV/cell): 14.364
# Energy of formation from the pure elements (eV/atom): -0.34